# 1
DFT (PBE-GGA) results for a geometry-optimized CeSbPd structure.

abc: 4.527 4.527 9.357
angles: 90.00 90.00 120.00
Element x y z (fractional)
Ce 0.000 0.000 0.148
Ce 0.000 0.000 0.852
Sb 0.333 0.667 0.670
Sb 0.667 0.333 0.330
Pd 0.333 0.667 0.379
Pd 0.667 0.333 0.621

## Properties
Its total DFT energy (no corrections) is -5.462 eV per atom. The value obtained for the energy relative to the elements, uncorrected is -0.3787 eV/atom. As for the crystal system: trigonal. For the spin magnetization, the calculation gives 0.31 μB/atom. The symmetry is P-3m1, No. 164.

=====

# 2
DFT (PBE-GGA) results for a geometry-optimized YMn2Pb structure.

abc: 4.921 4.921 4.921
angles: 60.00 60.00 60.00
Element x y z (fractional)
Y 0.000 0.000 0.000
Mn 0.500 0.500 0.500
Mn 0.750 0.750 0.750
Pb 0.250 0.250 0.250

## Properties
Its energy relative to the elements is 0.284 eV per atom. Its total DFT energy (no corrections) is -6.844 eV per atom. As for the crystal system: cubic. For the spin magnetization, the calculation gives 1.80 μB/atom. The symmetry is F-43m, No. 216.

=====

The records above give, respectively, calculated density values of 7.4 8.0 g/cm3.